This record from Alexandria via LeMat-Bulk describes a PBEsol-optimized structure of SrMoI2F. The functional is meta-GGA SCAN.

Calculated values
**Spin magnetization**: 5.0 μB/cell
**Energy relative to the elements, uncorrected**: -784 meV per atom

a b c (Å): 6.015 6.015 4.312
angles (deg): 90.00 90.00 90.00
Space group P4/mmm (No. 123)
One atom of each set of equivalent atoms:
Sr: 0.000 0.000 0.000 (multiplicity 1)
Mo: 0.500 0.500 0.000 (multiplicity 1)
I: 0.000 0.500 0.500 (multiplicity 2)
F: 0.000 0.000 0.500 (multiplicity 1)